## LiScHg2 (GGA-PBEsol)

Data for an optimized crystal structure of LiScHg2.

Structure (CIF):
```
data_LiScHg2
_chemical_formula_sum 'Li1 Sc1 Hg2'
_cell_length_a 4.7560
_cell_length_b 4.7599
_cell_length_c 4.7557
_cell_angle_alpha 119.97
_cell_angle_beta 90.00
_cell_angle_gamma 119.97
_space_group_name_H-M_alt 'P 1'
_space_group_IT_number 1
loop_
_space_group_symop_operation_xyz
'x,y,z'
loop_
_atom_site_label
_atom_site_type_symbol
_atom_site_fract_x
_atom_site_fract_y
_atom_site_fract_z
Hg1 Hg 0.2500 0.5000 0.2500
Hg2 Hg 0.7500 0.5000 0.7500
Li1 Li 0.0000 0.0000 0.5000
Sc1 Sc 0.5000 0.0000 0.0000
```

## Properties
SG: Fm-3m, No. 225
Energy of formation in eV per atom: -0.492
Offset from the most stable computed form in meV per atom: 0
Total magnetic moment in μB per atom: 0.000